Entry 1:
VASP calculation (GGA-PBE) on a relaxed MnGaSiRhSe crystal.

Crystal system: monoclinic
Formation energy (no corrections) (eV/atom): -0.22
Distance to the lowest polymorph of the same formula (meV/atom): 61

Cell and atoms, written as CIF:
```
data_MnGaSiRhSe
_chemical_formula_sum 'Mn2 Ga2 Si2 Rh2 Se2'
_symmetry_space_group_name_H-M 'C 1 m 1'
_symmetry_Int_Tables_number 8
_symmetry_space_group_name_Hall 'C -2y'
_cell_length_a 8.737
_cell_length_b 2.950
_cell_length_c 6.850
_cell_angle_alpha 90.00
_cell_angle_beta 107.09
_cell_angle_gamma 90.00
loop_
_atom_site_label
_atom_site_type_symbol
_atom_site_fract_x
_atom_site_fract_y
_atom_site_fract_z
Mn1 Mn 0.000 0.000 0.000
Ga1 Ga 0.257 0.000 0.916
Si1 Si 0.002 0.500 0.693
Rh1 Rh 0.270 0.500 0.612
Se1 Se 0.138 0.500 0.244
```

Entry 2:
VASP calculation (GGA-PBE) on a relaxed TaIn2Cl crystal.

Crystal system: orthorhombic
Formation energy (no corrections) (eV/atom): 0.06
Distance to the lowest polymorph of the same formula (meV/atom): 290

Cell and atoms, written as CIF:
```
data_TaIn2Cl
_chemical_formula_sum 'Ta1 In2 Cl1'
_symmetry_space_group_name_H-M 'P m m 2'
_symmetry_Int_Tables_number 25
_symmetry_space_group_name_Hall 'P 2 -2'
_cell_length_a 3.049
_cell_length_b 5.201
_cell_length_c 5.368
_cell_angle_alpha 90.00
_cell_angle_beta 90.00
_cell_angle_gamma 90.00
loop_
_atom_site_label
_atom_site_type_symbol
_atom_site_fract_x
_atom_site_fract_y
_atom_site_fract_z
Ta1 Ta 0.000 0.000 0.000
In1 In 0.500 0.000 0.501
In2 In 0.500 0.500 0.102
Cl1 Cl 0.000 0.500 0.628
```

Entry 3:
VASP calculation (GGA-PBE) on a relaxed Zr2ReTc crystal.

Crystal system: tetragonal
Energy of formation (eV per atom): -0.269

Cell and atoms, written as CIF:
```
data_Zr2ReTc
_chemical_formula_sum 'Zr2 Re1 Tc1'
_symmetry_space_group_name_H-M 'P 4/m m m'
_symmetry_Int_Tables_number 123
_symmetry_space_group_name_Hall '-P 4 2'
_cell_length_a 3.299
_cell_length_b 3.299
_cell_length_c 6.599
_cell_angle_alpha 90.00
_cell_angle_beta 90.00
_cell_angle_gamma 90.00
loop_
_atom_site_label
_atom_site_type_symbol
_atom_site_fract_x
_atom_site_fract_y
_atom_site_fract_z
Zr1 Zr 0.000 0.000 0.249
Re1 Re 0.500 0.500 0.500
Tc1 Tc 0.500 0.500 0.000
```

Entry 4:
VASP calculation (GGA-PBE) on a relaxed Ac3Bi2I2 crystal.

Crystal system: monoclinic
Formation energy (no corrections) (eV/atom): -1.07

Cell and atoms, written as CIF:
```
data_Ac3Bi2I2
_chemical_formula_sum 'Ac6 Bi4 I4'
_symmetry_space_group_name_H-M 'C 1 2/m 1'
_symmetry_Int_Tables_number 12
_symmetry_space_group_name_Hall '-C 2y'
_cell_length_a 15.874
_cell_length_b 4.820
_cell_length_c 8.383
_cell_angle_alpha 90.00
_cell_angle_beta 100.44
_cell_angle_gamma 90.00
loop_
_atom_site_label
_atom_site_type_symbol
_atom_site_fract_x
_atom_site_fract_y
_atom_site_fract_z
Ac1 Ac 0.000 0.000 0.000
Ac2 Ac 0.248 0.000 0.774
Bi1 Bi 0.117 0.500 0.859
I1 I 0.129 0.000 0.379
```

Entry 5:
VASP calculation (GGA-PBE) on a relaxed YGa2Cu3 crystal.

Crystal system: hexagonal
Energy of formation (eV per atom): -0.334

Cell and atoms, written as CIF:
```
data_YGa2Cu3
_chemical_formula_sum 'Y2 Ga4 Cu6'
_symmetry_space_group_name_H-M 'P 63/m m c'
_symmetry_Int_Tables_number 194
_symmetry_space_group_name_Hall '-P 6c 2c'
_cell_length_a 4.1611
_cell_length_b 4.1611
_cell_length_c 13.1631
_cell_angle_alpha 90.00
_cell_angle_beta 90.00
_cell_angle_gamma 120.00
loop_
_atom_site_label
_atom_site_type_symbol
_atom_site_fract_x
_atom_site_fract_y
_atom_site_fract_z
Y1 Y 0.0000 0.0000 0.2500
Ga1 Ga 0.3333 0.6667 0.1096
Cu1 Cu 0.0000 0.0000 0.0000
Cu2 Cu 0.3333 0.6667 0.5830
```

Entry 6:
VASP calculation (GGA-PBE) on a relaxed LiLu2S crystal.

Crystal system: trigonal
Formation energy (no corrections) (eV/atom): -0.67

Cell and atoms, written as CIF:
```
data_LiLu2S
_chemical_formula_sum 'Li3 Lu6 S3'
_symmetry_space_group_name_H-M 'R -3 m'
_symmetry_Int_Tables_number 166
_symmetry_space_group_name_Hall '-R 3 2"'
_cell_length_a 3.5510
_cell_length_b 3.5510
_cell_length_c 28.8829
_cell_angle_alpha 90.00
_cell_angle_beta 90.00
_cell_angle_gamma 120.00
loop_
_atom_site_label
_atom_site_type_symbol
_atom_site_fract_x
_atom_site_fract_y
_atom_site_fract_z
Li1 Li 0.0000 0.0000 0.0000
Lu1 Lu 0.0000 0.0000 0.1094
S1 S 0.0000 0.0000 0.5000
```

Entry 7:
VASP calculation (GGA-PBE) on a relaxed RePt2Se crystal.

Crystal system: tetragonal
Formation energy (no corrections) (eV/atom): 0.43

Cell and atoms, written as CIF:
```
data_RePt2Se
_chemical_formula_sum 'Re1 Pt2 Se1'
_symmetry_space_group_name_H-M 'P 4/m m m'
_symmetry_Int_Tables_number 123
_symmetry_space_group_name_Hall '-P 4 2'
_cell_length_a 4.912
_cell_length_b 4.912
_cell_length_c 2.727
_cell_angle_alpha 90.00
_cell_angle_beta 90.00
_cell_angle_gamma 90.00
loop_
_atom_site_label
_atom_site_type_symbol
_atom_site_fract_x
_atom_site_fract_y
_atom_site_fract_z
Re1 Re 0.000 0.000 0.000
Pt1 Pt 0.000 0.500 0.500
Se1 Se 0.500 0.500 0.000
```

Entry 8:
VASP calculation (GGA-PBE) on a relaxed Mg2TaCo crystal.

Crystal system: tetragonal
Energy of formation (eV per atom): 0.029
Distance to the lowest polymorph of the same formula (meV/atom): 0

Cell and atoms, written as CIF:
```
data_Mg2TaCo
_chemical_formula_sum 'Mg2 Ta1 Co1'
_symmetry_space_group_name_H-M 'P 4 m m'
_symmetry_Int_Tables_number 99
_symmetry_space_group_name_Hall 'P 4 -2'
_cell_length_a 3.056
_cell_length_b 3.056
_cell_length_c 7.390
_cell_angle_alpha 90.00
_cell_angle_beta 90.00
_cell_angle_gamma 90.00
loop_
_atom_site_label
_atom_site_type_symbol
_atom_site_fract_x
_atom_site_fract_y
_atom_site_fract_z
Mg1 Mg 0.000 0.000 0.000
Mg2 Mg 0.500 0.500 0.307
Ta1 Ta 0.000 0.000 0.590
Co1 Co 0.500 0.500 0.773
```